# 1
Tm6AlRu2 | PBE | relaxed

a = 8.309 Å, b = 8.309 Å, c = 8.309 Å
α = 113.02°, β = 112.90°, γ = 102.69°
Element x y z (fractional)
Tm 0.043 0.242 0.801
Tm 0.181 0.287 0.468
Tm 0.181 0.713 0.894
Tm 0.333 0.022 0.689
Tm 0.333 0.644 0.311
Tm 0.441 0.242 0.199
Tm 0.559 0.758 0.801
Tm 0.667 0.356 0.689
Tm 0.667 0.978 0.311
Tm 0.819 0.287 0.106
Tm 0.819 0.713 0.532
Tm 0.957 0.758 0.199
Al 0.000 0.000 0.000
Al 0.500 0.500 0.000
Ru 0.133 0.633 0.500
Ru 0.315 0.000 0.315
Ru 0.685 0.000 0.685
Ru 0.867 0.367 0.500

## Properties
- Formation enthalpy at 0 K: -0.40 eV per atom
- Density of states at the Fermi level: 14.5 states/eV per cell
- SG: No. 71

---

# 2
Tm6AlRu | PBE | relaxed

a = 6.576 Å, b = 6.576 Å, c = 6.488 Å
α = 102.34°, β = 102.34°, γ = 118.09°
Element x y z (fractional)
Tm 0.032 0.419 0.248
Tm 0.233 0.233 0.764
Tm 0.419 0.032 0.248
Tm 0.581 0.968 0.752
Tm 0.767 0.767 0.236
Tm 0.968 0.581 0.752
Al 0.500 0.500 0.500
Ru 0.000 0.000 0.000

## Properties
- Formation enthalpy at 0 K: -0.02 eV per atom
- Density of states at the Fermi level: 8.6 states/eV per cell
- SG: No. 12

---

# 3
TmAlRu2 | PBE | relaxed

a = 4.445 Å, b = 4.445 Å, c = 3.286 Å
α = 90.00°, β = 90.00°, γ = 90.00°
Element x y z (fractional)
Tm 0.000 0.000 0.000
Al 0.500 0.500 0.000
Ru 0.000 0.500 0.500
Ru 0.500 0.000 0.500

## Properties
- Formation enthalpy at 0 K: -0.45 eV per atom
- Density of states at the Fermi level: 5.5 states/eV per cell
- SG: No. 123

---

# 4
Tm8AlRu2 | PBE | relaxed

a = 8.962 Å, b = 8.962 Å, c = 6.897 Å
α = 110.76°, β = 110.76°, γ = 32.13°
Element x y z (fractional)
Tm 0.000 0.000 0.000
Tm 0.121 0.121 0.737
Tm 0.311 0.311 0.198
Tm 0.363 0.363 0.788
Tm 0.525 0.525 0.343
Tm 0.673 0.673 0.088
Tm 0.730 0.730 0.630
Tm 0.918 0.918 0.486
Al 0.167 0.167 0.358
Ru 0.518 0.518 0.732
Ru 0.840 0.840 0.036

## Properties
- Formation enthalpy at 0 K: -0.28 eV per atom
- Density of states at the Fermi level: 11.3 states/eV per cell
- SG: No. 8

---

Number 1: energy -105.4 eV for the cell shown. Number 2: energy -40.0 eV for the cell shown. Number 3: energy -28.6 eV for the cell shown. Number 4: energy -61.1 eV for the cell shown.